[1]
A geometry-optimized NaGaCuAg structure. Source: the Alexandria database, functional PBE.

Cell lengths 4.5882, 4.5882, 4.5882 Å; angles 60.00, 60.00, 60.00 degrees
Closest atoms and distances in Å follow each position.
Fractional coordinates of all 4 atoms:
1 Na 0.0000 0.0000 0.0000  4 Cu 2.81, 4 Ag 2.81
2 Cu 0.2500 0.2500 0.2500  4 Na 2.81, 4 Ga 2.81
3 Ga 0.5000 0.5000 0.5000  4 Ag 2.81, 4 Cu 2.81
4 Ag 0.7500 0.7500 0.7500  4 Na 2.81, 4 Ga 2.81

ΔE_f: 0.086 eV/atom

***

[2]
A geometry-optimized Mg4Si23 structure. Source: the Alexandria database, functional PBE.

Cell lengths 10.2044, 10.2044, 10.2044 Å; angles 90.00, 90.00, 90.00 degrees
Closest atoms and distances in Å follow each position.
Fractional coordinates of all 54 atoms:
1 Si 0.2500 0.0000 0.5000  4 Si 2.38
2 Si 0.7500 0.0000 0.5000  4 Si 2.38
3 Si 0.0000 0.5000 0.2500  4 Si 2.38
4 Si 0.0000 0.5000 0.7500  4 Si 2.38
5 Si 0.5000 0.2500 0.0000  4 Si 2.38
6 Si 0.5000 0.7500 0.0000  4 Si 2.38
7 Si 0.6834 0.6834 0.6834  4 Si 2.35-2.37
8 Si 0.6834 0.3166 0.3166  4 Si 2.35-2.37
9 Si 0.3166 0.6834 0.3166  4 Si 2.35-2.37
10 Si 0.3166 0.3166 0.6834  4 Si 2.35-2.37
11 Si 0.8166 0.8166 0.8166  4 Si 2.35-2.37
12 Si 0.8166 0.1834 0.1834  4 Si 2.35-2.37
13 Si 0.1834 0.8166 0.1834  4 Si 2.35-2.37
14 Si 0.1834 0.1834 0.8166  4 Si 2.35-2.37
15 Si 0.3166 0.3166 0.3166  4 Si 2.35-2.37
16 Si 0.3166 0.6834 0.6834  4 Si 2.35-2.37
17 Si 0.6834 0.3166 0.6834  4 Si 2.35-2.37
18 Si 0.6834 0.6834 0.3166  4 Si 2.35-2.37
19 Si 0.1834 0.1834 0.1834  4 Si 2.35-2.37
20 Si 0.1834 0.8166 0.8166  4 Si 2.35-2.37
21 Si 0.8166 0.1834 0.8166  4 Si 2.35-2.37
22 Si 0.8166 0.8166 0.1834  4 Si 2.35-2.37
23 Si 0.0000 0.6913 0.8832  4 Si 2.37-2.38
24 Si 0.0000 0.3087 0.1168  4 Si 2.37-2.38
25 Si 0.0000 0.6913 0.1168  4 Si 2.37-2.38
26 Si 0.0000 0.3087 0.8832  4 Si 2.37-2.38
27 Si 0.6913 0.8832 0.0000  4 Si 2.37-2.38
28 Si 0.6913 0.1168 0.0000  4 Si 2.37-2.38
29 Si 0.3087 0.8832 0.0000  4 Si 2.37-2.38
30 Si 0.3087 0.1168 0.0000  4 Si 2.37-2.38
31 Si 0.8832 0.0000 0.6913  4 Si 2.37-2.38
32 Si 0.8832 0.0000 0.3087  4 Si 2.37-2.38
33 Si 0.1168 0.0000 0.3087  4 Si 2.37-2.38
34 Si 0.1168 0.0000 0.6913  4 Si 2.37-2.38
35 Si 0.8087 0.5000 0.6168  4 Si 2.37-2.38
36 Si 0.8087 0.5000 0.3832  4 Si 2.37-2.38
37 Si 0.1913 0.5000 0.3832  4 Si 2.37-2.38
38 Si 0.1913 0.5000 0.6168  4 Si 2.37-2.38
39 Si 0.5000 0.6168 0.8087  4 Si 2.37-2.38
40 Si 0.5000 0.3832 0.1913  4 Si 2.37-2.38
41 Si 0.5000 0.6168 0.1913  4 Si 2.37-2.38
42 Si 0.5000 0.3832 0.8087  4 Si 2.37-2.38
43 Si 0.6168 0.8087 0.5000  4 Si 2.37-2.38
44 Si 0.6168 0.1913 0.5000  4 Si 2.37-2.38
45 Si 0.3832 0.8087 0.5000  4 Si 2.37-2.38
46 Si 0.3832 0.1913 0.5000  4 Si 2.37-2.38
47 Mg 0.0000 0.0000 0.0000  20 Si 3.24-3.37
48 Mg 0.5000 0.5000 0.5000  20 Si 3.24-3.37
49 Mg 0.2500 0.5000 0.0000  20 Si 3.43-3.80
50 Mg 0.7500 0.5000 0.0000  20 Si 3.43-3.80
51 Mg 0.5000 0.0000 0.2500  20 Si 3.43-3.80
52 Mg 0.5000 0.0000 0.7500  20 Si 3.43-3.80
53 Mg 0.0000 0.2500 0.5000  20 Si 3.43-3.80
54 Mg 0.0000 0.7500 0.5000  20 Si 3.43-3.80

Uncorrected formation energy: 2.319 kcal/mol of atoms

***

[3]
A geometry-optimized NaTmNp2O8 structure. Source: the Alexandria database, functional PBE.

Cell lengths 5.2887, 5.2887, 6.3909 Å; angles 114.44, 114.44, 90.00 degrees
Closest atoms and distances in Å follow each position.
Fractional coordinates of all 12 atoms:
1 Na 0.7500 0.2500 0.5000  8 O 2.38
2 Tm 0.0000 0.0000 0.0000  8 O 2.31
3 Np 0.5000 0.5000 0.0000  8 O 2.21-2.22
4 Np 0.2500 0.7500 0.5000  8 O 2.20
5 O 0.8787 0.8506 0.2452  2 Np 2.20-2.21, 1 Tm 2.31, 1 Na 2.38, 1 O 2.41
6 O 0.3665 0.3947 0.2452  2 Np 2.20-2.21, 1 Tm 2.31, 1 Na 2.38, 1 O 2.41
7 O 0.6053 0.6334 0.7545  2 Np 2.20-2.22, 1 Tm 2.31, 1 Na 2.38, 1 O 2.41
8 O 0.1492 0.1211 0.7545  2 Np 2.20-2.22, 1 Tm 2.31, 1 Na 2.38, 1 O 2.41
9 O 0.8789 0.3947 0.2455  2 Np 2.20-2.22, 1 Tm 2.31, 1 Na 2.38, 1 O 2.41
10 O 0.3666 0.8508 0.2455  2 Np 2.20-2.22, 1 Tm 2.31, 1 Na 2.38, 1 O 2.41
11 O 0.1494 0.6335 0.7548  2 Np 2.20-2.21, 1 Tm 2.31, 1 Na 2.38, 1 O 2.41
12 O 0.6053 0.1213 0.7548  2 Np 2.20-2.21, 1 Tm 2.31, 1 Na 2.38, 1 O 2.41

Uncorrected formation energy: -63.609 kcal/mol of atoms

***

[4]
A geometry-optimized TlHg4Bi2 structure. Source: the Alexandria database, functional PBE.

Cell lengths 3.3603, 3.4488, 17.8327 Å; angles 95.55, 90.00, 90.00 degrees
Closest atoms and distances in Å follow each position.
Fractional coordinates of all 7 atoms:
1 Tl 0.0000 0.5000 0.0000  4 Tl 3.36-3.45, 8 Hg 3.47
2 Hg 0.5000 0.0703 0.1407  8 Hg 3.33-3.45, 4 Tl 3.47
3 Hg 0.0000 0.3650 0.7301  8 Hg 3.33-3.45, 4 Bi 3.62
4 Hg 0.5000 0.9297 0.8593  8 Hg 3.33-3.45, 4 Tl 3.47
5 Hg 0.0000 0.6350 0.2699  8 Hg 3.33-3.45, 4 Bi 3.62
6 Bi 0.5000 0.2112 0.4225  6 Bi 3.25-3.45, 4 Hg 3.62
7 Bi 0.5000 0.7888 0.5775  6 Bi 3.25-3.45, 4 Hg 3.62

ΔE_f: 0.023 eV/atom

***

[5]
A geometry-optimized Y2AlHRu structure. Source: the Alexandria database, functional PBE.

Cell lengths 4.9153, 4.9153, 3.6876 Å; angles 90.00, 90.00, 90.00 degrees
Closest atoms and distances in Å follow each position.
Fractional coordinates of all 5 atoms:
1 Y 0.0000 0.5000 0.0000  2 H 2.46
2 Y 0.5000 0.0000 0.0000  2 H 2.46
3 Ru 0.0000 0.0000 0.5000  2 H 1.84
4 Al 0.5000 0.5000 0.5000  8 Y 3.07
5 H 0.0000 0.0000 0.0000  2 Ru 1.84

E: -6.30 eV/atom

***

[6]
A geometry-optimized BaScNbSe2 structure. Source: the Alexandria database, functional PBE.

Cell lengths 5.7908, 5.5831, 5.7908 Å; angles 90.00, 90.00, 90.00 degrees
Closest atoms and distances in Å follow each position.
Fractional coordinates of all 5 atoms:
1 Sc 0.0000 0.5000 0.0000  2 Ba 2.79
2 Nb 0.5000 0.5000 0.5000  8 Se 4.02, 4 Sc 4.09
3 Ba 0.0000 0.0000 0.0000  2 Sc 2.79, 4 Se 2.90
4 Se 0.0000 0.0000 0.5000  2 Ba 2.90
5 Se 0.5000 0.0000 0.0000  2 Ba 2.90

Uncorrected formation energy: 33.937 kcal/mol of atoms

***

[7]
A geometry-optimized PmDyPtO6 structure. Source: the Alexandria database, functional PBE.

Cell lengths 5.5506, 5.5506, 9.8282 Å; angles 90.00, 90.00, 120.00 degrees
Closest atoms and distances in Å follow each position.
Fractional coordinates of all 18 atoms:
1 Pm 0.0000 0.0000 0.0000  6 O 2.37
2 Pm 0.0000 0.0000 0.5000  6 O 2.37
3 Dy 0.3333 0.6667 0.2500  6 O 2.26
4 Dy 0.6667 0.3333 0.7500  6 O 2.26
5 Pt 0.6667 0.3333 0.2500  6 O 1.99
6 Pt 0.3333 0.6667 0.7500  6 O 1.99
7 O 0.6671 0.6292 0.1361  1 Pt 1.99
8 O 0.9622 0.3329 0.1361  1 Pt 1.99
9 O 0.3329 0.9622 0.6361  1 Pt 1.99
10 O 0.0378 0.6671 0.8639  1 Pt 1.99
11 O 0.3708 0.3329 0.3639  1 Pt 1.99
12 O 0.9622 0.6292 0.3639  1 Pt 1.99
13 O 0.6292 0.9622 0.8639  1 Pt 1.99
14 O 0.6671 0.0378 0.3639  1 Pt 1.99
15 O 0.0378 0.3708 0.6361  1 Pt 1.99
16 O 0.3708 0.0378 0.1361  1 Pt 1.99
17 O 0.6292 0.6671 0.6361  1 Pt 1.99
18 O 0.3329 0.3708 0.8639  1 Pt 1.99

Uncorrected formation energy: -46.080 kcal/mol of atoms

***

[8]
A geometry-optimized Ce2SI2 structure. Source: the Alexandria database, functional PBE.

Cell lengths 4.1909, 4.1904, 11.8635 Å; angles 80.96, 79.83, 60.00 degrees
Closest atoms and distances in Å follow each position.
Fractional coordinates of all 5 atoms:
1 Ce 0.7136 0.1998 0.3730  3 S 2.83-2.84
2 Ce 0.2864 0.8002 0.6270  3 S 2.83-2.84
3 S 0.0000 0.5000 0.5000  6 Ce 2.83-2.84
4 I 0.4477 0.9140 0.1906  3 Ce 3.22
5 I 0.5523 0.0860 0.8094  3 Ce 3.22

Uncorrected formation energy: -37.050 kcal/mol of atoms